# 1
A geometry-optimized ScSb3As structure. Source: Alexandria, functional GGA-PBE.

Cell: 5.420 5.420 5.420 Å, 90.00 90.00 90.00°
Atoms (fractional coordinates):
Sc  0.000  0.000  0.000
Sb  0.000  0.000  0.500
Sb  0.000  0.500  0.000
Sb  0.500  0.000  0.000
As  0.500  0.500  0.500

M_tot: 0.00 μB/cell
Raw formation energy: 505 meV/atom
Density of states at the Fermi level: 1.029 states/eV per atom

# 2
A geometry-optimized Sr2Mg6ZnNi structure. Source: Alexandria, functional GGA-PBE.

Cell: 7.213 7.213 7.213 Å, 119.92 119.92 90.13°
Atoms (fractional coordinates):
Sr  0.250  0.750  0.500
Sr  0.750  0.250  0.500
Mg  0.241  0.241  0.000
Mg  0.241  0.241  0.482
Mg  0.241  0.759  0.000
Mg  0.759  0.241  0.000
Mg  0.759  0.759  0.000
Mg  0.759  0.759  0.518
Zn  0.500  0.500  0.000
Ni  0.000  0.000  0.000

M_tot: 0.00 μB/cell
ΔE_f: -0.0425 eV per atom
Density of states at the Fermi level: 0.583 states/eV per atom

# 3
A geometry-optimized Ca2ReCl structure. Source: Alexandria, functional GGA-PBE.

Cell: 5.141 5.141 5.141 Å, 60.00 60.00 60.00°
Atoms (fractional coordinates):
Ca  0.250  0.250  0.250
Ca  0.750  0.750  0.750
Re  0.000  0.000  0.000
Cl  0.500  0.500  0.500

M_tot: 2.00 μB/cell
Raw formation energy: 360 meV/atom
Density of states at the Fermi level: 0.779 states/eV per atom